Density functional theory data (PBE+U) for an optimized crystal structure of LiCoPbF6.

Results
- total energy (eV per atom) = -4.737
- density (g cm⁻³) = 5.21
- total magnetization (μB per formula unit) = 0.000
- Fermi-level density of states (states/eV per cell) = 0.0

Unit cell a=5.2015 b=5.2015 c=5.2594 alpha=90.00 beta=90.00 gamma=120.00
Closest atoms and distances in Å follow each position.
Space group P312 (No. 149)
Unique sites:
Li1 0.0000 0.0000 0.0000  6 F 2.06
Co1 0.3333 0.6667 0.0000  6 F 1.87
Pb1 0.6667 0.3333 0.5000  6 F 2.48
F1 0.0494 0.3600 0.2028  1 Co 1.87, 1 Li 2.06